Entry 1:
Compound: Be2TlH
Source: the Alexandria database
Functional: meta-GGA SCAN
Structure: PBEsol geometry

a = 4.2895 Å, b = 4.2895 Å, c = 5.9292 Å
α = 111.21°, β = 111.21°, γ = 90.00°
Closest atoms and distances in Å follow each position.
Sites, in units of the cell vectors:
Be1 0.6250 0.8750 0.2500  2 H 1.66
Be2 0.1250 0.3750 0.7500  2 H 1.66
Be3 0.6250 0.3750 0.2500  2 H 1.66
Be4 0.6250 0.3750 0.7500  2 H 1.66
H1 0.5000 0.5000 0.0000  4 Be 1.66
H2 0.7500 0.2500 0.5000  4 Be 1.66
Tl1 0.2500 0.7500 0.5000  8 Be 2.72, 4 H 3.03
Tl2 0.0000 0.0000 0.0000  8 Be 2.72, 4 H 3.03

Computed properties:
Space group: I4_1/amd
Magnetization, μB/f.u.: 0.00
Energy, eV for the cell shown: -165.57



Entry 2:
Compound: BeVH
Source: the Alexandria database
Functional: meta-GGA SCAN
Structure: PBEsol geometry

a = 3.1107 Å, b = 3.2933 Å, c = 4.6239 Å
α = 90.00°, β = 109.66°, γ = 90.00°
Closest atoms and distances in Å follow each position.
Sites, in units of the cell vectors:
Be1 0.9332 0.2500 0.8663  2 Be 2.02, 2 H 2.16
Be2 0.0668 0.7500 0.1337  2 Be 2.02, 2 H 2.16
V1 0.6498 0.2500 0.2996  4 H 1.82-1.83
V2 0.3502 0.7500 0.7004  4 H 1.82-1.83
H1 0.2612 0.2500 0.5224  4 V 1.82-1.83
H2 0.7388 0.7500 0.4776  4 V 1.82-1.83

Computed properties:
Space group: Cmcm
Magnetization, μB/f.u.: 0.00
Energy, eV for the cell shown: -52.14



Entry 3:
Compound: Be3VH
Source: the Alexandria database
Functional: meta-GGA SCAN
Structure: PBEsol geometry

a = 3.3858 Å, b = 3.3858 Å, c = 3.3858 Å
α = 90.00°, β = 90.00°, γ = 90.00°
Closest atoms and distances in Å follow each position.
Sites, in units of the cell vectors:
Be1 0.0000 0.5000 0.0000  2 H 1.69
Be2 0.5000 0.0000 0.0000  2 H 1.69
Be3 0.0000 0.0000 0.5000  2 H 1.69
V1 0.5000 0.5000 0.5000  12 Be 2.39
H1 0.0000 0.0000 0.0000  6 Be 1.69

Computed properties:
Space group: Pm-3m
Magnetization, μB/f.u.: 0.00
Energy, eV for the cell shown: -33.25



Entry 4:
Compound: BeZnH2
Source: the Alexandria database
Functional: meta-GGA SCAN
Structure: PBEsol geometry

a = 3.4956 Å, b = 3.4956 Å, c = 3.4956 Å
α = 60.00°, β = 60.00°, γ = 60.00°
Closest atoms and distances in Å follow each position.
Sites, in units of the cell vectors:
Be1 0.0000 0.0000 0.0000  8 H 2.14
H1 0.7500 0.7500 0.7500  4 Be 2.14, 4 Zn 2.14
H2 0.2500 0.2500 0.2500  4 Be 2.14, 4 Zn 2.14
Zn1 0.5000 0.5000 0.5000  8 H 2.14

Computed properties:
Space group: Fm-3m
Magnetization, μB/f.u.: 0.00
Distance to the lowest polymorph of the same formula, eV/atom: 0.489



Entry 5:
Compound: Be2ZnH
Source: the Alexandria database
Functional: meta-GGA SCAN
Structure: PBEsol geometry

a = 4.2586 Å, b = 4.2586 Å, c = 5.0288 Å
α = 115.05°, β = 115.05°, γ = 90.00°
Closest atoms and distances in Å follow each position.
Sites, in units of the cell vectors:
Be1 0.6250 0.8750 0.2500  2 H 1.47
Be2 0.6250 0.3750 0.7500  2 H 1.47
Be3 0.1250 0.3750 0.7500  2 H 1.47
Be4 0.6250 0.3750 0.2500  2 H 1.47
Zn1 0.0000 0.0000 0.0000  8 Be 2.58
Zn2 0.2500 0.7500 0.5000  8 Be 2.58
H1 0.7500 0.2500 0.5000  4 Be 1.47
H2 0.5000 0.5000 0.0000  4 Be 1.47

Computed properties:
Space group: I4_1/amd
Magnetization, μB/f.u.: 0.00
Energy, eV for the cell shown: -48.22



Entry 6:
Compound: BeZnH2
Source: the Alexandria database
Functional: meta-GGA SCAN
Structure: PBEsol geometry

a = 4.7809 Å, b = 4.7809 Å, c = 4.7809 Å
α = 60.00°, β = 60.00°, γ = 60.00°
Closest atoms and distances in Å follow each position.
Sites, in units of the cell vectors:
H1 0.6250 0.1250 0.6250  2 Be 1.46
H2 0.1250 0.6250 0.6250  2 Be 1.46
H3 0.6250 0.6250 0.6250  2 Be 1.46
H4 0.6250 0.6250 0.1250  2 Be 1.46
Be1 0.5000 0.5000 0.5000  4 H 1.46
Be2 0.7500 0.7500 0.7500  4 H 1.46
Zn1 0.0000 0.0000 0.0000  12 H 2.80, 4 Zn 2.93, 4 Be 2.93
Zn2 0.2500 0.2500 0.2500  12 H 2.80, 4 Be 2.93, 4 Zn 2.93

Computed properties:
Space group: Fd-3m
Magnetization, μB/f.u.: 0.00
Distance to the lowest polymorph of the same formula, eV/atom: 0.000



Entry 7:
Compound: ZrBeH3
Source: the Alexandria database
Functional: meta-GGA SCAN
Structure: PBEsol geometry

a = 3.6906 Å, b = 3.6906 Å, c = 3.6906 Å
α = 90.00°, β = 90.00°, γ = 90.00°
Closest atoms and distances in Å follow each position.
Sites, in units of the cell vectors:
Zr1 0.0000 0.0000 0.0000  6 H 1.85
H1 0.0000 0.5000 0.0000  2 Zr 1.85
H2 0.0000 0.0000 0.5000  2 Zr 1.85
H3 0.5000 0.0000 0.0000  2 Zr 1.85
Be1 0.5000 0.5000 0.5000  12 H 2.61

Computed properties:
Space group: Pm-3m
Magnetization, μB/f.u.: 0.00
Energy, eV for the cell shown: -43.90



Entry 8:
Compound: HfBe
Source: the Alexandria database
Functional: meta-GGA SCAN
Structure: PBEsol geometry

a = 3.2570 Å, b = 3.7288 Å, c = 5.2346 Å
α = 90.00°, β = 108.13°, γ = 90.00°
Closest atoms and distances in Å follow each position.
Sites, in units of the cell vectors:
Be1 0.5611 0.7500 0.1222  2 Be 2.23
Be2 0.4389 0.2500 0.8778  2 Be 2.23
Hf1 0.8469 0.7500 0.6939  7 Be 2.64-2.84
Hf2 0.1531 0.2500 0.3061  7 Be 2.64-2.84

Computed properties:
Space group: Cmcm
Magnetization, μB/f.u.: 0.30
ΔE_f, meV per atom: -73.2



Entry 9:
Compound: Hf2Be2Hg
Source: the Alexandria database
Functional: meta-GGA SCAN
Structure: PBEsol geometry

a = 3.9275 Å, b = 6.2491 Å, c = 6.2491 Å
α = 90.00°, β = 90.00°, γ = 90.00°
Closest atoms and distances in Å follow each position.
Sites, in units of the cell vectors:
Hf1 0.5000 0.6698 0.8302  6 Be 2.69-2.70, 1 Hf 3.00
Hf2 0.5000 0.8302 0.3302  6 Be 2.69-2.70, 1 Hf 3.00
Hf3 0.5000 0.1698 0.6698  6 Be 2.69-2.70, 1 Hf 3.00
Hf4 0.5000 0.3302 0.1698  6 Be 2.69-2.70, 1 Hf 3.00
Be1 0.0000 0.8771 0.6229  1 Be 2.17
Be2 0.0000 0.3771 0.8771  1 Be 2.17
Be3 0.0000 0.6229 0.1229  1 Be 2.17
Be4 0.0000 0.1229 0.3771  1 Be 2.17
Hg1 0.0000 0.0000 0.0000  4 Be 2.48
Hg2 0.0000 0.5000 0.5000  4 Be 2.48

Computed properties:
Space group: P4/mbm
Magnetization, μB/f.u.: 0.00
ΔE_f, meV per atom: -341.6



Entry 10:
Compound: Hf2BeHg
Source: the Alexandria database
Functional: meta-GGA SCAN
Structure: PBEsol geometry

a = 4.6755 Å, b = 4.6755 Å, c = 4.6755 Å
α = 60.00°, β = 60.00°, γ = 60.00°
Closest atoms and distances in Å follow each position.
Sites, in units of the cell vectors:
Hf1 0.7500 0.7500 0.7500  4 Hg 2.86, 4 Be 2.86
Hf2 0.2500 0.2500 0.2500  4 Hg 2.86, 4 Be 2.86
Be1 0.0000 0.0000 0.0000  8 Hf 2.86
Hg1 0.5000 0.5000 0.5000  8 Hf 2.86

Computed properties:
Space group: Fm-3m
Magnetization, μB/f.u.: 0.00
ΔE_f, meV per atom: 8.0



Entry 11:
Compound: KHfBe2I
Source: the Alexandria database
Functional: meta-GGA SCAN
Structure: PBEsol geometry

a = 5.1435 Å, b = 5.1435 Å, c = 5.9678 Å
α = 90.00°, β = 90.00°, γ = 90.00°
Closest atoms and distances in Å follow each position.
Sites, in units of the cell vectors:
K1 0.0000 0.0000 0.0000  4 Be 2.57
Be1 0.5000 0.0000 0.0000  2 K 2.57
Be2 0.0000 0.5000 0.0000  2 K 2.57
I1 0.5000 0.5000 0.5000  4 Hf 3.64, 8 Be 3.94
Hf1 0.0000 0.0000 0.5000  2 K 2.98

Computed properties:
Space group: P4/mmm
Magnetization, μB/f.u.: 1.99
Uncorrected formation energy, eV/atom: 2.324



Entry 12:
Compound: HfBeIO2
Source: the Alexandria database
Functional: meta-GGA SCAN
Structure: PBEsol geometry

a = 3.9797 Å, b = 3.9797 Å, c = 5.9484 Å
α = 90.00°, β = 90.00°, γ = 90.00°
Closest atoms and distances in Å follow each position.
Sites, in units of the cell vectors:
I1 0.0000 0.0000 0.5000  4 Be 2.81, 2 Hf 2.97
O1 0.5000 0.0000 0.0000  2 Hf 1.99
O2 0.0000 0.5000 0.0000  2 Hf 1.99
Hf1 0.0000 0.0000 0.0000  4 O 1.99
Be1 0.5000 0.5000 0.5000  4 I 2.81

Computed properties:
Space group: P4/mmm
Magnetization, μB/f.u.: 0.00
Uncorrected formation energy, eV/atom: -1.366